Compound: NaMnTe2Au
Source: the Alexandria database
Functional: PBE
Structure: optimized geometry

Computed properties:
The density of states at the Fermi level comes out at 0.30 states/eV/cell. As for the crystal system: monoclinic. Its raw formation energy is -335 meV per atom.

abc: 7.3333 5.3387 7.5508
angles: 90.00 101.35 90.00
Space group P2/c (No. 13)
One atom of each set of equivalent atoms:
Na: 0.0000 0.1274 0.2500 (multiplicity 2)
Mn: 0.5000 0.4582 0.7500 (multiplicity 2)
Te: 0.2353 0.3365 0.9678 (multiplicity 4)
Au: 0.5000 0.0000 0.0000 (multiplicity 2)



Compound: ScMnPd6
Source: the Alexandria database
Functional: PBE
Structure: optimized geometry

Computed properties:
The density of states at the Fermi level comes out at 10.22 states/eV/cell. The value obtained for the energy relative to the elements is -200 meV/atom. As for the crystal system: monoclinic. Its energy relative to the lowest polymorph listed for this composition is 320 meV/atom.

abc: 7.9121 5.3264 7.1927
angles: 90.00 109.70 90.00
Space group C2/m (No. 12)
One atom of each set of equivalent atoms:
Sc: 0.0000 0.0000 0.0000 (multiplicity 2)
Mn: 0.0000 0.5000 0.5000 (multiplicity 2)
Pd: 0.1435 0.0000 0.4356 (multiplicity 4)
Pd: 0.1964 0.2427 0.7988 (multiplicity 8)



Compound: MgVP2
Source: the Alexandria database
Functional: PBE
Structure: optimized geometry

Computed properties:
The density of states at the Fermi level comes out at 11.34 states/eV/cell. The value obtained for the energy relative to the elements is -234 meV/atom. As for the crystal system: tetragonal.

abc: 5.7178 5.7178 10.8945
angles: 90.00 90.00 90.00
Space group I-42d (No. 122)
One atom of each set of equivalent atoms:
Mg: 0.0000 0.0000 0.0000 (multiplicity 4)
V: 0.0000 0.0000 0.5000 (multiplicity 4)
P: 0.2085 0.2500 0.6250 (multiplicity 8)



Compound: AcLa14Pb
Source: the Alexandria database
Functional: PBE
Structure: optimized geometry

Computed properties:
The density of states at the Fermi level comes out at 46.95 states/eV/cell. The value obtained for the energy relative to the elements is -71 meV/atom. As for the crystal system: orthorhombic.

abc: 10.4917 10.4532 10.4477
angles: 90.00 90.00 90.00
Space group Amm2 (No. 38)
One atom of each set of equivalent atoms:
Ac: 0.0000 0.0000 0.0000 (multiplicity 2)
La: 0.0000 0.2490 0.7500 (multiplicity 4)
La: 0.2459 0.0000 0.2609 (multiplicity 4)
La: 0.2460 0.0000 0.7384 (multiplicity 4)
La: 0.2460 0.2387 0.4998 (multiplicity 8)
La: 0.5000 0.0000 0.5003 (multiplicity 2)
La: 0.5000 0.0000 0.9991 (multiplicity 2)
La: 0.5000 0.2496 0.2499 (multiplicity 4)
Pb: 0.0000 0.0000 0.4994 (multiplicity 2)



Compound: Nd2Hg3Au2
Source: the Alexandria database
Functional: PBE
Structure: optimized geometry

Computed properties:
The density of states at the Fermi level comes out at 8.61 states/eV/cell. The value obtained for the energy relative to the elements is -509 meV/atom. As for the crystal system: orthorhombic.

abc: 4.6136 20.7088 3.7478
angles: 90.00 90.00 90.00
Space group Cmmm (No. 65)
One atom of each set of equivalent atoms:
Nd: 0.0000 0.1638 0.0000 (multiplicity 4)
Hg: 0.0000 0.0000 0.0000 (multiplicity 2)
Hg: 0.0000 0.4286 0.5000 (multiplicity 4)
Au: 0.0000 0.2891 0.5000 (multiplicity 4)



Compound: K4Dy3PuTe8
Source: the Alexandria database
Functional: PBE
Structure: optimized geometry

Computed properties:
The density of states at the Fermi level comes out at 40.83 states/eV/cell. As for the crystal system: trigonal. Its raw formation energy is -1318 meV per atom.

abc: 9.0390 9.0390 24.6787
angles: 90.00 90.00 120.00
Space group R-3m (No. 166, hexagonal axes)
One atom of each set of equivalent atoms:
K: 0.0000 0.0000 0.0000 (multiplicity 3)
K: 0.0000 0.5000 0.0000 (multiplicity 9)
Dy: 0.0000 0.5000 0.5000 (multiplicity 9)
Pu: 0.0000 0.0000 0.5000 (multiplicity 3)
Te: 0.0000 0.0000 0.2361 (multiplicity 6)
Te: 0.0042 0.5021 0.7637 (multiplicity 18)